#w
## MgTlAg (PBE)

Data for a relaxed MgTlAg crystal.

```
MgTlAg
1.0
4.812 0.000 0.000
-2.406 4.167 0.000
0.000 0.000 3.327
Mg Tl Ag
1 1 1
Direct
0.000 0.000 0.000
0.333 0.667 0.411
0.667 0.333 0.682
```

Results
Size of the total moment: 0.0 μB/cell
Theoretical density: 8.38 g/cm3
SG: No. 156

---

#x
## MgTlAg (PBE)

Data for a relaxed MgTlAg crystal.

```
MgTlAg
1.0
0.000 3.333 3.333
3.333 0.000 3.333
3.333 3.333 0.000
Mg Tl Ag
1 1 1
Direct
0.000 0.000 0.000
0.500 0.500 0.500
0.750 0.750 0.750
```

Results
Size of the total moment: 0.0 μB/cell
Theoretical density: 7.55 g/cm3
SG: No. 216

---

We find #x to be the most stable, with the next structure 13 meV per atom higher.

---

#w
## MgTlAg (PBE)

Data for a relaxed MgTlAg crystal.

```
MgTlAg
1.0
-1.710 1.710 5.720
1.710 -1.710 5.720
1.710 1.710 -5.720
Mg Tl Ag
1 1 1
Direct
0.000 0.000 0.000
0.309 0.309 0.000
0.633 0.633 0.000
```

Results
Size of the total moment: 0.0 μB/cell
Theoretical density: 8.35 g/cm3
SG: No. 107

---

#x
## MgTlAg (PBE)

Data for a relaxed MgTlAg crystal.

```
MgTlAg
1.0
5.082 -1.698 0.000
5.082 1.698 0.000
-0.523 0.000 7.943
Mg Tl Ag
2 2 2
Direct
0.143 0.143 0.088
0.857 0.857 0.912
0.421 0.421 0.253
0.579 0.579 0.747
0.142 0.142 0.439
0.858 0.858 0.561
```

Results
Size of the total moment: 0.0 μB/cell
Theoretical density: 8.15 g/cm3
SG: No. 12

---

We find #w to be the most stable, with the next structure 86 meV per atom higher.

---

#w
## Mg4TlAg (PBE)

Data for a relaxed Mg4TlAg crystal.

```
Mg4TlAg
1.0
0.000 4.107 4.107
4.107 0.000 4.107
4.107 4.107 0.000
Mg Tl Ag
4 1 1
Direct
0.125 0.125 0.125
0.125 0.125 0.624
0.125 0.624 0.125
0.624 0.125 0.125
0.750 0.750 0.750
0.500 0.500 0.500
```

Results
Size of the total moment: 0.0 μB/cell
Theoretical density: 4.91 g/cm3
SG: No. 216

---

#x
## Mg4TlAg (PBE)

Data for a relaxed Mg4TlAg crystal.

```
Mg4TlAg
1.0
3.733 -3.731 0.000
3.733 3.731 0.000
-3.697 0.000 9.302
Mg Tl Ag
8 2 2
Direct
0.078 0.578 0.154
0.163 0.163 0.327
0.336 0.336 0.673
0.422 0.922 0.846
0.578 0.078 0.154
0.664 0.664 0.327
0.837 0.837 0.673
0.922 0.422 0.846
0.250 0.750 0.500
0.750 0.250 0.500
0.000 0.000 0.000
0.500 0.500 0.000
```

Results
Size of the total moment: 0.0 μB/cell
Theoretical density: 5.25 g/cm3
SG: No. 12

---

#y
## Mg4TlAg (PBE)

Data for a relaxed Mg4TlAg crystal.

```
Mg4TlAg
1.0
3.007 -4.019 0.000
3.007 4.019 0.000
-2.247 0.000 5.684
Mg Tl Ag
4 1 1
Direct
0.057 0.443 0.236
0.443 0.057 0.236
0.557 0.943 0.764
0.943 0.557 0.764
0.000 0.000 0.500
0.500 0.500 0.000
```

Results
Size of the total moment: 0.0 μB/cell
Theoretical density: 4.95 g/cm3
SG: No. 12

---

We find #x to be the most stable, with the next structure 36 meV per atom higher.

---

#w
## Mg8TlAg2 (PBE)

Data for a relaxed Mg8TlAg2 crystal.

```
Mg8TlAg2
1.0
4.800 0.000 0.000
0.006 6.790 0.000
2.265 3.390 7.343
Mg Tl Ag
8 1 2
Direct
0.000 0.000 0.000
0.034 0.494 0.928
0.207 0.344 0.592
0.376 0.830 0.257
0.410 0.407 0.185
0.584 0.879 0.833
0.706 0.626 0.592
0.825 0.119 0.355
0.205 0.913 0.593
0.541 0.246 0.912
0.870 0.567 0.272
```

Results
Size of the total moment: 0.0 μB/cell
Theoretical density: 4.26 g/cm3
SG: No. 1

---

#x
## Mg8TlAg2 (PBE)

Data for a relaxed Mg8TlAg2 crystal.

```
Mg8TlAg2
1.0
3.972 -6.516 0.000
3.972 6.516 0.000
-2.011 0.000 4.783
Mg Tl Ag
8 1 2
Direct
0.088 0.327 0.606
0.229 0.771 0.000
0.327 0.088 0.606
0.400 0.400 0.196
0.600 0.600 0.804
0.673 0.912 0.394
0.771 0.229 0.000
0.912 0.673 0.394
0.000 0.000 0.000
0.304 0.696 0.500
0.696 0.304 0.500
```

Results
Size of the total moment: 0.0 μB/cell
Theoretical density: 4.12 g/cm3
SG: No. 12

---

We find #w to be the most stable, with the next structure 24 meV per atom higher.

---

#w
## Mg5TlAg (PBE)

Data for a relaxed Mg5TlAg crystal.

```
Mg5TlAg
1.0
4.574 0.000 0.000
0.000 4.574 0.000
0.000 0.000 7.833
Mg Tl Ag
5 1 1
Direct
0.000 0.000 0.000
0.000 0.500 0.295
0.000 0.500 0.705
0.500 0.000 0.295
0.500 0.000 0.705
0.500 0.500 0.000
0.500 0.500 0.500
```

Results
Size of the total moment: 0.0 μB/cell
Theoretical density: 4.40 g/cm3
SG: No. 123

---

#x
## Mg5TlAg (PBE)

Data for a relaxed Mg5TlAg crystal.

```
Mg5TlAg
1.0
4.186 -6.309 0.000
4.186 6.309 0.000
-2.096 0.000 6.257
Mg Tl Ag
10 2 2
Direct
0.076 0.374 0.849
0.219 0.469 0.353
0.220 0.780 0.750
0.374 0.076 0.349
0.469 0.219 0.853
0.531 0.781 0.147
0.626 0.924 0.651
0.780 0.220 0.250
0.781 0.531 0.647
0.924 0.626 0.151
0.000 0.000 0.000
0.000 0.000 0.500
0.450 0.550 0.750
0.550 0.450 0.250
```

Results
Size of the total moment: 0.0 μB/cell
Theoretical density: 4.36 g/cm3
SG: No. 15

---

We find #w to be the most stable, with the next structure 57 meV per atom higher.

---

#w
## Mg3TlAg (PBE)

Data for a relaxed Mg3TlAg crystal.

```
Mg3TlAg
1.0
5.963 0.000 0.000
0.000 4.804 0.000
-2.445 0.000 7.582
Mg Tl Ag
6 2 2
Direct
0.165 0.250 0.484
0.258 0.750 0.256
0.307 0.250 0.919
0.693 0.750 0.081
0.742 0.250 0.744
0.835 0.750 0.516
0.395 0.750 0.687
0.605 0.250 0.313
0.020 0.750 0.889
0.980 0.250 0.111
```

Results
Size of the total moment: 0.0 μB/cell
Theoretical density: 5.89 g/cm3
SG: No. 11

---

#x
## Mg3TlAg (PBE)

Data for a relaxed Mg3TlAg crystal.

```
Mg3TlAg
1.0
5.163 0.000 0.000
0.000 5.163 0.000
0.000 0.000 5.163
Mg Tl Ag
3 1 1
Direct
0.000 0.000 0.500
0.000 0.500 0.000
0.500 0.000 0.000
0.500 0.500 0.500
0.000 0.000 0.000
```

Results
Size of the total moment: 0.0 μB/cell
Theoretical density: 4.65 g/cm3
SG: No. 221

---

We find #w to be the most stable, with the next structure 183 meV per atom higher.